A relaxed CdCuMo2O8 crystal, computed with PBE+U.

Unit cell a=6.9283 b=6.9283 c=7.0408 alpha=90.00 beta=90.00 gamma=90.00
Space group I-4m2 (No. 119)
Symmetry-distinct sites (fractional):
Cd: 0.0000 0.0000 0.0000 [2 per cell]
Cu: 0.0000 0.5000 0.2500 [2 per cell]
Mo: 0.0000 0.0000 0.5000 [2 per cell]
Mo: 0.0000 0.5000 0.7500 [2 per cell]
O: 0.0000 0.2124 0.3490 [8 per cell]
O: 0.0000 0.2954 0.9031 [8 per cell]

The theoretical density is 4.872 Mg/m³. For the energy, the calculation gives -6.10 eV per atom.